An optimized crystal structure of CrIrRu, computed with GGA-PBE.

Computed properties:
* raw total energy: -9.28 eV per atom
* spin magnetization: 0.00 μB/f.u.
* calculated formation energy: -25 meV per atom
* mass density: 14.18 g/cm³
* D(E_F): 7.5 states/eV per cell

Lattice parameters (Å, degrees): 2.680 3.726 8.098 90.00 90.00 90.00
Space group Imm2 (No. 44)
Inequivalent atoms, fractional coordinates:
Cr 0.000 0.000 0.000 [2 per cell]
Ir 0.000 0.000 0.663 [2 per cell]
Ru 0.000 0.000 0.339 [2 per cell]

=====

An optimized crystal structure of SrMg3S, computed with GGA-PBE.

Computed properties:
* raw total energy: -2.29 eV per atom
* spin magnetization: 0.00 μB/f.u.
* energy relative to the elements, uncorrected: -0.18 eV per atom
* mass density: 2.26 g/cm³
* D(E_F): 3.1 states/eV per cell

Lattice parameters (Å, degrees): 5.212 5.212 5.212 90.00 90.00 90.00
Space group Pm-3m (No. 221)
Inequivalent atoms, fractional coordinates:
Sr 0.000 0.000 0.000 [1 per cell]
Mg 0.000 0.500 0.500 [3 per cell]
S 0.500 0.500 0.500 [1 per cell]

=====

An optimized crystal structure of Cs3PuBr6, computed with GGA-PBE.

Computed properties:
* raw total energy: -4.42 eV per atom
* spin magnetization: 5.00 μB/f.u.
* energy relative to the elements, uncorrected: -1.73 eV per atom
* mass density: 3.97 g/cm³
* D(E_F): 19.8 states/eV per cell

Lattice parameters (Å, degrees): 8.516 9.035 14.826 90.00 124.68 90.00
Space group P2_1/c (No. 14)
Inequivalent atoms, fractional coordinates:
Cs 0.000 0.000 0.000 [2 per cell]
Cs 0.277 0.069 0.751 [4 per cell]
Pu 0.500 0.000 0.500 [2 per cell]
Br 0.164 0.049 0.281 [4 per cell]
Br 0.289 0.679 0.058 [4 per cell]
Br 0.401 0.233 0.066 [4 per cell]

=====

An optimized crystal structure of HoMg4Ag5, computed with GGA-PBE.

Computed properties:
* raw total energy: -2.77 eV per atom
* spin magnetization: 0.00 μB/f.u.
* calculated formation energy: -248 meV per atom
* mass density: 6.79 g/cm³
* D(E_F): 3.8 states/eV per cell

Lattice parameters (Å, degrees): 3.415 3.415 16.816 90.00 90.00 90.00
Space group P4/mmm (No. 123)
Inequivalent atoms, fractional coordinates:
Ho 0.000 0.000 0.000 [1 per cell]
Mg 0.000 0.000 0.212 [2 per cell]
Mg 0.000 0.000 0.404 [2 per cell]
Ag 0.500 0.500 0.117 [2 per cell]
Ag 0.500 0.500 0.309 [2 per cell]
Ag 0.500 0.500 0.500 [1 per cell]